Entry 1:
NiTe2Br: optimized geometry, PBE.

The value obtained for the theoretical density is 6474 kg/m3. The calculation puts the total magnetization at 0.000 μB per cell. For the uncorrected energy, the calculation gives -3.299 eV per atom. The uncorrected formation energy comes out at 0.14 eV per atom.

It has space group Immm (No. 71), with a = 3.434 Å, b = 5.557 Å, c = 10.585 Å, α = 90.00°, β = 90.00° and γ = 90.00°. The inequivalent atoms are Ni at (0.000, 0.000, 0.000), Te at (0.000, 0.500, 0.326) and Br at (0.000, 0.000, 0.500).



Entry 2:
NiTeBr3: optimized geometry, PBE.

For the energy above the most stable polymorph in this dataset, the calculation gives 475 meV/atom. The value obtained for the theoretical density is 3886 kg/m3. The calculation puts the total magnetization at 1.028 μB per cell. For the uncorrected energy, the calculation gives -2.182 eV per atom. The uncorrected formation energy comes out at 0.61 eV per atom.

It has space group Pm-3m (No. 221), with a = 5.667 Å, b = 5.667 Å, c = 5.667 Å, α = 90.00°, β = 90.00° and γ = 90.00°. The inequivalent atoms are Ni at (0.000, 0.000, 0.000), Te at (0.500, 0.500, 0.500) and Br at (0.000, 0.500, 0.500).



Entry 3:
NiTe2Br: optimized geometry, PBE.

The value obtained for the theoretical density is 5787 kg/m3. The calculation puts the total magnetization at 0.001 μB per cell. For the uncorrected energy, the calculation gives -3.596 eV per atom. The uncorrected formation energy comes out at -0.16 eV per atom.

It has space group Cm (No. 8), with a = 12.793 Å, b = 3.938 Å, c = 4.842 Å, α = 90.00°, β = 112.12° and γ = 90.00°. The inequivalent atoms are Ni at (0.000, 0.000, 0.000), Te at (0.106, 0.500, 0.896), Te at (0.458, 0.000, 0.258) and Br at (0.311, 0.500, 0.591).



Entry 4:
NiTe2Br: optimized geometry, PBE.

The value obtained for the theoretical density is 6054 kg/m3. The calculation puts the total magnetization at 0.000 μB per cell. For the uncorrected energy, the calculation gives -3.507 eV per atom. The uncorrected formation energy comes out at -0.07 eV per atom.

It has space group R3m (No. 160, hexagonal axes), with a = 3.7246 Å, b = 3.7246 Å, c = 26.9704 Å, α = 90.00°, β = 90.00° and γ = 120.00°. The inequivalent atoms are Ni at (0.0000, 0.0000, 0.0000), Te at (0.0000, 0.0000, 0.2797), Te at (0.0000, 0.0000, 0.5290) and Br at (0.0000, 0.0000, 0.7170).



Entry 5:
NiTeBr: optimized geometry, PBE.

The value obtained for the theoretical density is 5698 kg/m3. The calculation puts the total magnetization at 0.000 μB per cell. For the uncorrected energy, the calculation gives -3.562 eV per atom. The uncorrected formation energy comes out at -0.03 eV per atom.

It has space group Imm2 (No. 44), with a = 3.422 Å, b = 3.436 Å, c = 13.198 Å, α = 90.00°, β = 90.00° and γ = 90.00°. The inequivalent atoms are Ni at (0.000, 0.000, 0.000), Te at (0.000, 0.000, 0.572) and Br at (0.000, 0.000, 0.826).



Entry 6:
NiTe2Br: optimized geometry, PBE.

The value obtained for the theoretical density is 5497 kg/m3. The calculation puts the total magnetization at 0.000 μB per cell. For the uncorrected energy, the calculation gives -3.618 eV per atom. The uncorrected formation energy comes out at -0.18 eV per atom.

It has space group Pnma (No. 62), with a = 9.296 Å, b = 3.758 Å, c = 13.620 Å, α = 90.00°, β = 90.00° and γ = 90.00°. The inequivalent atoms are Ni at (0.025, 0.250, 0.093), Te at (0.143, 0.750, 0.184), Te at (0.156, 0.250, 0.928) and Br at (0.088, 0.250, 0.619).



Entry 7:
NiTe2Br8: optimized geometry, PBE.

The value obtained for the theoretical density is 3605 kg/m3. The calculation puts the total magnetization at 0.318 μB per cell. For the uncorrected energy, the calculation gives -2.539 eV per atom. The uncorrected formation energy comes out at -0.23 eV per atom.

It has space group C2/m (No. 12), with a = 12.007 Å, b = 10.380 Å, c = 7.527 Å, α = 90.00°, β = 110.64° and γ = 90.00°. The inequivalent atoms are Ni at (0.000, 0.000, 0.000), Te at (0.193, 0.500, 0.142), Br at (0.004, 0.500, 0.251), Br at (0.129, 0.157, 0.974) and Br at (0.171, 0.000, 0.513).



Entry 8:
NiTe2Br: optimized geometry, PBE.

The value obtained for the theoretical density is 5852 kg/m3. The calculation puts the total magnetization at 0.000 μB per cell. For the uncorrected energy, the calculation gives -3.633 eV per atom. The uncorrected formation energy comes out at -0.20 eV per atom.

It has space group P1 (No. 1), with a = 3.849 Å, b = 7.834 Å, c = 8.070 Å, α = 74.37°, β = 76.30° and γ = 75.98°. The inequivalent atoms are Ni at (0.000, 0.000, 0.000), Ni at (0.380, 0.806, 0.429), Te at (0.171, 0.423, 0.229), Te at (0.552, 0.778, 0.114), Te at (0.824, 0.032, 0.318), Te at (0.948, 0.574, 0.521), Br at (0.206, 0.835, 0.744) and Br at (0.452, 0.209, 0.888).